Computed, not measured: a relaxed Li2V4OF12 crystal at the PBE+U level of DFT.

Summary:
Spin magnetization in μB per cell: 8.00
E in eV/atom: -5.99

```
data_Li2V4OF12
_chemical_formula_sum 'Li2 V4 O1 F12'
_cell_length_a 3.9557
_cell_length_b 8.3350
_cell_length_c 8.6434
_cell_angle_alpha 79.63
_cell_angle_beta 87.72
_cell_angle_gamma 77.50
_symmetry_space_group_name_H-M 'P 1'
_symmetry_Int_Tables_number 1
loop_
_symmetry_equiv_pos_as_xyz
'x,y,z'
loop_
_atom_site_label
_atom_site_fract_x
_atom_site_fract_y
_atom_site_fract_z
Li1 0.0000 0.0000 0.0000
Li2 0.0699 0.8789 0.5379
V1 0.0875 0.2803 0.6279
V2 0.1226 0.2446 0.2781
V3 0.9066 0.6289 0.2792
V4 0.9463 0.6293 0.8948
O1 0.0300 0.4140 0.4125
F1 0.0069 0.4742 0.7472
F2 0.0134 0.4633 0.1025
F3 0.1294 0.1225 0.8200
F4 0.1778 0.0897 0.4922
F5 0.2033 0.0677 0.1568
F6 0.4070 0.6424 0.2653
F7 0.4525 0.6213 0.9044
F8 0.5858 0.2781 0.6293
F9 0.6222 0.2432 0.2646
F10 0.8150 0.7859 0.4183
F11 0.8804 0.7836 0.0615
F12 0.9077 0.8223 0.7397
```